DFT (GGA-PBE) results for a relaxed structure of Pr4As2BrCl.

- energy (eV per atom) = -5.478
- space-group type = P-6m2 (187)

```
Pr4As2BrCl
1.0
4.228 0.000 0.000
-2.114 3.662 0.000
0.000 0.000 14.747
Pr As Br Cl
4 2 1 1
Direct
0.000 0.000 0.138
0.000 0.000 0.862
0.667 0.333 0.352
0.667 0.333 0.648
0.333 0.667 0.244
0.333 0.667 0.756
0.000 0.000 0.500
0.667 0.333 0.000
```